Density functional theory data (PBE) for a relaxed Hg2SbSeO crystal.

Uncorrected formation energy   -0.08 eV/f.u.
Size of the total moment   0.4 Bohr magnetons per cell

a b c (Å): 5.6522 5.6522 4.0155
angles (deg): 90.00 90.00 90.00
Last column: nearest neighbours and their distance in Å.
Space group P4/mmm (No. 123)
Symmetry-distinct sites (fractional):
Hg1 0.0000 0.5000 0.0000 (multiplicity 2)  2 Sb 2.83
Sb1 0.0000 0.0000 0.0000 (multiplicity 1)  2 O 2.01
Se1 0.5000 0.5000 0.5000 (multiplicity 1)  8 Hg 3.47
O1 0.0000 0.0000 0.5000 (multiplicity 1)  2 Sb 2.01